Er6Fe2Bi (GGA-PBE, relaxed); raw total energy = -5.584 eV per atom; symmetry = No. 71; mass density = 9.7 Mg/m³; total magnetization = 0.44 μB/f.u.; formation enthalpy at 0 K = -0.23 eV per atom
1.0
8.393 0.103 -0.008
-3.085 7.806 0.008
-2.847 -3.825 6.908
Er Fe Bi
12 4 2
Direct
0.527 0.713 0.814 Er
0.473 0.287 0.186 Er
0.101 0.287 0.814 Er
0.899 0.713 0.186 Er
0.776 0.769 0.545 Er
0.224 0.231 0.455 Er
0.224 0.769 0.992 Er
0.776 0.231 0.008 Er
0.697 0.382 0.685 Er
0.303 0.618 0.315 Er
0.303 0.989 0.685 Er
0.697 0.011 0.315 Er
0.500 0.391 0.891 Fe
0.500 0.609 0.109 Fe
0.612 0.000 0.612 Fe
0.388 0.000 0.388 Fe
0.000 0.500 0.500 Bi
0.000 0.000 0.000 Bi